Crystalline Hf3CuRh at its relaxed geometry. Source: Alexandria via LeMat-Bulk, functional GGA-PBE.

Calculated values
* energy above the most stable polymorph in this dataset: 0.0 meV per atom
* symmetry: No. 155
* V: 20.0 Å³ per atom
* energy relative to the elements: -0.057 eV/atom

abc: 5.8857 5.8857 7.4798
angles: 66.83 66.83 60.00
Positions (direct):
Rh (0.1869, 0.1869, 0.4394)
Rh (0.8131, 0.8131, 0.5606)
Cu (0.6852, 0.6852, 0.9443)
Hf (0.1639, 0.7497, 0.7446)
Hf (0.8361, 0.6581, 0.2554)
Hf (0.3419, 0.1639, 0.7446)
Hf (0.7497, 0.3419, 0.7446)
Cu (0.3148, 0.3148, 0.0557)
Hf (0.6581, 0.2503, 0.2554)
Hf (0.2503, 0.8361, 0.2554)

***

Crystalline HfCuSbRh at its relaxed geometry. Source: Alexandria via LeMat-Bulk, functional GGA-PBE.

Calculated values
* symmetry: No. 216
* formation energy from raw total energies: -0.385 eV/atom
* V: 17.3 Å³ per atom

abc: 4.6063 4.6063 4.6063
angles: 60.00 60.00 60.00
Positions (direct):
Hf (0.5000, 0.5000, 0.5000)
Cu (0.2500, 0.2500, 0.2500)
Sb (0.0000, 0.0000, 0.0000)
Rh (0.7500, 0.7500, 0.7500)

***

Crystalline TbHfCuRh at its relaxed geometry. Source: Alexandria via LeMat-Bulk, functional GGA-PBE.

Calculated values
* symmetry: No. 216
* V: 19.0 Å³ per atom
* energy relative to the elements: -0.451 eV/atom

abc: 4.7533 4.7533 4.7533
angles: 60.00 60.00 60.00
Positions (direct):
Rh (0.7500, 0.7500, 0.7500)
Hf (0.5000, 0.5000, 0.5000)
Tb (0.0000, 0.0000, 0.0000)
Cu (0.2500, 0.2500, 0.2500)

***

Crystalline Hf3Zn3CuRh2 at its relaxed geometry. Source: Alexandria via LeMat-Bulk, functional GGA-PBE.

Calculated values
* symmetry: No. 189
* V: 16.5 Å³ per atom
* energy relative to the elements: -0.540 eV/atom

abc: 3.2540 7.2692 7.2692
angles: 120.00 90.00 90.00
Positions (direct):
Zn (0.5000, 0.0000, 0.7382)
Zn (0.5000, 0.2618, 0.2618)
Hf (0.0000, 0.0000, 0.4000)
Rh (0.5000, 0.3333, 0.6667)
Rh (0.5000, 0.6667, 0.3333)
Cu (0.0000, 0.0000, 0.0000)
Hf (0.0000, 0.6000, 0.6000)
Zn (0.5000, 0.7382, 0.0000)
Hf (0.0000, 0.4000, 0.0000)

***

Crystalline HfZnCuRh at its relaxed geometry. Source: Alexandria via LeMat-Bulk, functional GGA-PBE.

Calculated values
* symmetry: No. 119
* V: 15.2 Å³ per atom
* energy relative to the elements: -0.444 eV/atom

abc: 4.0076 4.0077 4.7382
angles: 115.01 115.02 90.00
Positions (direct):
Hf (0.2500, 0.7500, 0.5000)
Zn (0.7500, 0.2500, 0.5000)
Rh (0.0000, 0.0000, 0.0000)
Cu (0.5000, 0.5000, 0.0000)

***

Crystalline HfCu2Ru2 at its relaxed geometry. Source: Alexandria via LeMat-Bulk, functional GGA-PBE.

Calculated values
* energy above the most stable polymorph in this dataset: 83.2 meV per atom
* symmetry: No. 139
* V: 15.3 Å³ per atom
* energy relative to the elements: 0.151 eV/atom

abc: 3.6468 3.6468 6.3017
angles: 73.18 73.18 90.00
Positions (direct):
Ru (0.2500, 0.7500, 0.5000)
Ru (0.7500, 0.2500, 0.5000)
Cu (0.4019, 0.4019, 0.1963)
Cu (0.5981, 0.5981, 0.8037)
Hf (0.0000, 0.0000, 0.0000)

***

Question: Look up the V of the fifth one.
Answer: 15.2 Å³ per atom

***

Question: Which formula does entry 1 have?
Answer: Hf3CuRh